No. 1
Computed, not measured: a relaxed K2DyTmSe4 crystal at the PBE-GGA level of DFT.

```
8
Lattice="7.253 0.000 0.000 0.000 4.188 0.000 -2.418 0.000 7.677" Properties=species:S:1:pos:R:3 pbc="T T T"
K 0.000 0.000 0.000
K 3.627 2.094 0.000
Dy -1.209 2.094 3.839
Tm 2.418 0.000 3.839
Se 0.019 0.000 5.408
Se 1.229 2.094 2.278
Se 3.607 2.094 5.399
Se 4.816 0.000 2.269
```

Properties
- E_tot (eV/cell) = -39.3
- uncorrected formation energy (meV per atom) = -1758
- spin magnetization (μB per cell) = 0.00
- symmetry = P2/m (10)



No. 2
Computed, not measured: a relaxed K4Dy3TmSe8 crystal at the PBE-GGA level of DFT.

```
16
Lattice="4.200 2.425 7.680 -4.200 2.425 7.680 0.000 -4.850 7.680" Properties=species:S:1:pos:R:3 pbc="T T T"
K 0.000 0.000 0.000
K -2.100 -1.213 7.680
K -2.100 1.213 15.360
K 0.000 2.425 7.680
Dy -4.200 0.000 11.520
Dy -2.100 1.213 3.840
Dy 2.100 1.213 3.840
Tm 0.000 0.000 11.520
Se 0.000 0.000 5.417
Se -2.083 -1.203 13.088
Se 0.000 -2.405 9.953
Se -2.083 1.203 9.953
Se 2.083 -1.203 13.088
Se 0.000 2.405 13.088
Se 2.083 1.203 9.953
Se 0.000 0.000 17.624
```

Properties
- E_tot (eV/cell) = -78.7
- uncorrected formation energy (meV per atom) = -1761
- spin magnetization (μB per cell) = 0.00
- symmetry = R-3m (166)



No. 3
Computed, not measured: a relaxed K3Dy2TmSe6 crystal at the PBE-GGA level of DFT.

```
12
Lattice="3.634 -6.294 0.000 3.634 6.294 0.000 -2.424 0.000 7.679" Properties=species:S:1:pos:R:3 pbc="T T T"
K 0.000 0.000 0.000
K 3.634 2.105 0.000
K 3.634 -2.105 0.000
Dy 2.422 4.197 3.840
Dy 2.422 -4.197 3.840
Tm 2.422 0.000 3.840
Se 1.222 2.079 2.271
Se 0.021 0.000 5.409
Se 1.222 -2.079 2.271
Se 3.622 2.079 5.408
Se 4.823 0.000 2.270
Se 3.622 -2.079 5.408
```

Properties
- E_tot (eV/cell) = -59.0
- uncorrected formation energy (meV per atom) = -1760
- spin magnetization (μB per cell) = 0.00
- symmetry = C2/m (12)



No. 4
Computed, not measured: a relaxed K4DyU3Se8 crystal at the PBE-GGA level of DFT.

```
16
Lattice="4.214 2.433 7.742 -4.214 2.433 7.742 0.000 -4.866 7.742" Properties=species:S:1:pos:R:3 pbc="T T T"
K 0.000 0.000 0.000
K -2.107 -1.216 7.742
K -2.107 1.216 15.484
K 0.000 2.433 7.742
Dy 0.000 0.000 11.613
U -4.214 0.000 11.613
U -2.107 1.216 3.871
U 2.107 1.216 3.871
Se 0.000 0.000 5.488
Se -2.093 -1.208 13.223
Se 0.000 -2.416 10.003
Se -2.093 1.208 10.003
Se 2.093 -1.208 13.223
Se 0.000 2.416 13.223
Se 2.093 1.208 10.003
Se 0.000 0.000 17.738
```

Properties
- E_tot (eV/cell) = -92.4
- uncorrected formation energy (meV per atom) = -1355
- spin magnetization (μB per cell) = 9.01
- symmetry = R-3m (166)



No. 5
Computed, not measured: a relaxed K3Dy3USe8 crystal at the PBE-GGA level of DFT.

```
15
Lattice="7.249 -4.180 0.000 7.249 4.180 0.000 -4.834 0.000 7.802" Properties=species:S:1:pos:R:3 pbc="T T T"
K 0.000 0.000 0.000
K 3.624 2.090 0.000
K 3.624 -2.090 0.000
Dy 1.207 2.090 3.901
Dy 1.207 -2.090 3.901
Dy 4.832 0.000 3.901
U -2.417 0.000 3.901
Se -0.023 0.000 5.462
Se 3.633 2.108 5.462
Se 6.030 2.108 2.340
Se 2.416 0.000 2.308
Se 7.247 0.000 5.494
Se 3.633 -2.108 5.462
Se 6.030 -2.108 2.340
Se 9.686 0.000 2.340
```

Properties
- E_tot (eV/cell) = -80.9
- uncorrected formation energy (meV per atom) = -1641
- spin magnetization (μB per cell) = 2.00
- symmetry = C2/m (12)



No. 6
Computed, not measured: a relaxed K3DyU2Se6 crystal at the PBE-GGA level of DFT.

```
12
Lattice="3.652 -6.325 0.000 3.652 6.325 0.000 -2.435 0.000 7.730" Properties=species:S:1:pos:R:3 pbc="T T T"
K 0.000 0.000 0.000
K 3.652 2.107 0.000
K 3.652 -2.107 0.000
Dy 2.434 0.000 3.865
U 2.434 4.216 3.865
U 2.434 -4.216 3.865
Se 1.223 2.099 2.260
Se 0.011 0.000 5.469
Se 1.223 -2.099 2.260
Se 3.646 2.099 5.470
Se 4.858 0.000 2.261
Se 3.646 -2.099 5.470
```

Properties
- E_tot (eV/cell) = -68.2
- uncorrected formation energy (meV per atom) = -1398
- spin magnetization (μB per cell) = 6.01
- symmetry = C2/m (12)



No. 7
Computed, not measured: a relaxed K4Dy3VSe8 crystal at the PBE-GGA level of DFT.

```
16
Lattice="4.124 2.381 7.669 -4.124 2.381 7.669 0.000 -4.761 7.669" Properties=species:S:1:pos:R:3 pbc="T T T"
K 0.000 0.000 0.000
K -2.062 -1.190 7.669
K -2.062 1.190 15.337
K 0.000 2.381 7.669
Dy -4.124 0.000 11.503
Dy -2.062 1.190 3.834
Dy 2.062 1.190 3.834
V 0.000 0.000 11.503
Se 0.000 0.000 5.431
Se -1.938 -1.119 13.015
Se 0.000 -2.238 9.991
Se -1.938 1.119 9.991
Se 1.938 -1.119 13.015
Se 0.000 2.238 13.015
Se 1.938 1.119 9.991
Se 0.000 0.000 17.575
```

Properties
- E_tot (eV/cell) = -79.3
- uncorrected formation energy (meV per atom) = -1507
- spin magnetization (μB per cell) = 2.00
- symmetry = R-3m (166)



No. 8
Computed, not measured: a relaxed K4DyY3Se8 crystal at the PBE-GGA level of DFT.

```
16
Lattice="4.216 2.434 7.683 -4.216 2.434 7.683 0.000 -4.868 7.683" Properties=species:S:1:pos:R:3 pbc="T T T"
K 0.000 0.000 0.000
K -2.108 -1.217 7.683
K -2.108 1.217 15.366
K 0.000 2.434 7.683
Dy 0.000 0.000 11.524
Y -4.216 0.000 11.524
Y -2.108 1.217 3.841
Y 2.108 1.217 3.841
Se 0.000 0.000 5.421
Se -2.105 -1.215 13.102
Se 0.000 -2.431 9.946
Se -2.105 1.215 9.946
Se 2.105 -1.215 13.102
Se 0.000 2.431 13.102
Se 2.105 1.215 9.946
Se 0.000 0.000 17.627
```

Properties
- E_tot (eV/cell) = -84.6
- uncorrected formation energy (meV per atom) = -1771
- spin magnetization (μB per cell) = 0.00
- symmetry = R-3m (166)



No. 9
Computed, not measured: a relaxed KDyY4Se8 crystal at the PBE-GGA level of DFT.

```
14
Lattice="4.297 2.481 7.006 -4.297 2.481 7.006 0.000 -4.962 7.006" Properties=species:S:1:pos:R:3 pbc="T T T"
K 0.000 0.000 0.000
Dy 0.000 0.000 13.227
Y -2.232 -1.289 9.590
Y 0.000 0.000 5.241
Y 2.232 -1.289 9.590
Y 0.000 2.578 9.590
Se 0.000 0.000 8.032
Se 0.000 -2.329 11.320
Se -2.017 1.164 11.320
Se -1.883 -1.087 14.980
Se 2.017 1.164 11.320
Se 1.883 -1.087 14.980
Se 0.000 2.174 14.980
Se 0.000 0.000 18.063
```

Properties
- E_tot (eV/cell) = -84.1
- uncorrected formation energy (meV per atom) = -1759
- spin magnetization (μB per cell) = 0.00
- symmetry = R3m (160)



No. 10
Computed, not measured: a relaxed K2DyYSe4 crystal at the PBE-GGA level of DFT.

```
8
Lattice="7.299 0.000 0.000 0.000 4.216 0.000 -2.433 0.000 7.683" Properties=species:S:1:pos:R:3 pbc="T T T"
K 0.000 0.000 0.000
K 3.650 2.108 0.000
Dy -1.217 2.108 3.841
Y 2.433 0.000 3.841
Se -0.003 0.000 5.418
Se 1.214 2.108 2.264
Se 3.652 2.108 5.419
Se 4.869 0.000 2.265
```

Properties
- E_tot (eV/cell) = -41.4
- uncorrected formation energy (meV per atom) = -1769
- spin magnetization (μB per cell) = 0.00
- symmetry = P2/m (10)



No. 11
Computed, not measured: a relaxed KDyZnSe3 crystal at the PBE-GGA level of DFT.

```
12
Lattice="9.085 0.000 0.000 0.000 4.138 0.000 -3.021 0.000 9.397" Properties=species:S:1:pos:R:3 pbc="T T T"
K 1.178 1.035 2.195
K 4.886 3.104 7.202
Dy 0.401 3.104 8.076
Dy 5.663 1.035 1.322
Zn -1.075 1.035 5.700
Zn 7.138 3.104 3.697
Se -1.616 1.035 8.076
Se 0.245 3.104 5.035
Se 3.699 3.104 1.496
Se 2.364 1.035 7.901
Se 5.819 1.035 4.362
Se 7.680 3.104 1.322
```

Properties
- E_tot (eV/cell) = -51.5
- uncorrected formation energy (meV per atom) = -1387
- spin magnetization (μB per cell) = 0.00
- symmetry = P2_1/m (11)



No. 12
Computed, not measured: a relaxed K2Dy2ZrSe6 crystal at the PBE-GGA level of DFT.

```
11
Lattice="3.542 -6.090 0.000 3.542 6.090 0.000 -2.403 0.000 7.866" Properties=species:S:1:pos:R:3 pbc="T T T"
K 3.542 4.026 0.000
K 3.542 -4.026 0.000
Dy 2.341 2.033 3.933
Dy 2.341 -2.033 3.933
Zr -1.202 0.000 3.933
Se -0.066 1.937 5.504
Se 1.049 0.000 2.372
Se -0.066 -1.937 5.504
Se 4.747 1.937 2.361
Se 3.632 0.000 5.493
Se 4.747 -1.937 2.361
```

Properties
- E_tot (eV/cell) = -59.0
- uncorrected formation energy (meV per atom) = -1650
- spin magnetization (μB per cell) = 0.00
- symmetry = C2/m (12)